Compound: Rb4LaNp3S8
Source: Alexandria
Functional: PBE-GGA
Structure: optimized geometry

Structure (extended XYZ):
```
16
Lattice="8.3624 0.0000 0.0000 0.0000 9.0555 0.4869 -4.1812 -4.1797 5.9142" Properties=species:S:1:pos:R:3 pbc="T T T"
Rb 4.1812 0.0000 0.0000
Rb 2.0906 -2.0898 2.9571
Rb 0.0000 0.0000 0.0000
Rb -2.0906 -2.0898 2.9571
La 0.0000 4.5277 0.2434
Np 4.1812 4.5277 0.2434
Np 2.0906 2.4379 3.2006
Np -2.0906 2.4379 3.2006
S -2.0311 2.2809 6.0036
S 0.0000 4.3111 3.1306
S 0.0000 0.5704 3.3586
S 2.0311 2.2809 6.0036
S 2.1502 2.5949 0.3975
S 4.1812 4.3054 3.0425
S 4.1812 0.5647 3.2705
S 6.2123 2.5949 0.3975
```

Space-group type = R-3m (166)

Compound: Rb3LaNp3S8
Source: Alexandria
Functional: PBE-GGA
Structure: optimized geometry

Structure (extended XYZ):
```
15
Lattice="-6.7950 -4.4545 1.4786 5.6356 -2.7288 -5.3845 2.1828 -0.4028 8.8168" Properties=species:S:1:pos:R:3 pbc="T T T"
Rb 0.0000 0.0000 0.0000
Rb 2.8178 -1.3644 -2.6922
Rb -0.5797 -3.5917 -1.9530
La 1.0914 -0.2014 4.4084
Np -2.3061 -2.4286 5.1477
Np 0.5117 -3.7931 2.4554
Np 3.9092 -1.5658 1.7162
S 1.8981 -2.8143 0.2441
S -0.8746 -4.7719 4.6668
S -1.5362 -4.9683 1.0349
S 2.5596 -2.6178 3.8760
S -4.2407 -3.6588 3.6186
S 5.2641 -3.9274 1.2923
S -0.9798 -1.5210 2.9091
S 2.0032 -6.0651 2.0018
```

Space-group type = R-3m (166)

Compound: Rb4La3NpSe8
Source: Alexandria
Functional: PBE-GGA
Structure: optimized geometry

Structure (extended XYZ):
```
16
Lattice="8.8904 0.0000 0.0000 0.0000 9.4889 0.3460 -4.4452 -4.3938 6.3208" Properties=species:S:1:pos:R:3 pbc="T T T"
Rb 4.4452 0.0000 0.0000
Rb 2.2226 -2.1969 3.1604
Rb 0.0000 0.0000 0.0000
Rb -2.2226 -2.1969 3.1604
La 4.4452 4.7445 0.1730
La 2.2226 2.5476 3.3334
La -2.2226 2.5476 3.3334
Np 0.0000 4.7445 0.1730
Se -2.2681 2.3743 6.3698
Se 0.0000 4.6161 3.1456
Se 0.0000 0.4860 3.4635
Se 2.2681 2.3743 6.3698
Se 2.1771 2.7209 0.2970
Se 4.4452 4.6091 3.2033
Se 4.4452 0.4790 3.5212
Se 6.7134 2.7209 0.2970
```

Space-group type = R-3m (166)

Compound: Rb2LaNpSe4
Source: Alexandria
Functional: PBE-GGA
Structure: optimized geometry

Structure (extended XYZ):
```
8
Lattice="4.4048 0.0000 0.0000 0.0000 7.6296 0.1259 0.0000 -2.6838 7.9411" Properties=species:S:1:pos:R:3 pbc="T T T"
Rb 2.2024 -1.3419 3.9705
Rb 0.0000 2.4729 4.0335
La 0.0000 0.0000 0.0000
Np 2.2024 3.8148 0.0629
Se 2.2024 1.2928 1.6277
Se 2.2024 3.6531 6.4393
Se 0.0000 -0.0516 6.4177
Se 0.0000 4.9975 1.6492
```

Space-group type = P2/m (10)

Compound: Rb3LaNp2Te6
Source: Alexandria
Functional: PBE-GGA
Structure: optimized geometry

Structure (extended XYZ):
```
12
Lattice="8.0628 -0.0012 0.0001 -4.0305 6.9831 0.0001 -1.3448 -2.3284 8.5310" Properties=species:S:1:pos:R:3 pbc="T T T"
Rb -2.7128 4.6695 4.2656
Rb 5.4003 -0.0161 4.2656
Rb 1.3438 2.3267 4.2656
La 0.0000 0.0000 0.0000
Np -0.0032 4.6572 0.0001
Np 4.0355 2.3247 0.0001
Te 4.0617 2.2707 6.8023
Te 2.6559 4.5986 1.7216
Te -1.3742 2.3828 1.7289
Te -0.0631 4.6529 6.8023
Te 0.0317 0.0548 6.8096
Te 2.7506 0.0005 1.7289
```

Space-group type = C2/m (12)

Compound: Rb2LaNpTe4
Source: Alexandria
Functional: PBE-GGA
Structure: optimized geometry

Structure (extended XYZ):
```
8
Lattice="-2.7321 -1.0724 -3.6539 -3.4883 -5.9039 4.3411 -4.7102 7.4917 1.3231" Properties=species:S:1:pos:R:3 pbc="T T T"
Rb -3.7211 3.2096 -1.1654
Rb -4.0993 0.7939 2.8321
La -3.1102 -3.4882 0.3436
Np 0.0000 0.0000 0.0000
Te -3.1029 -0.3688 -0.5774
Te -7.8277 0.8841 2.5877
Te -4.6458 4.4231 2.1755
Te -3.5528 -2.8353 3.4886
```

Space-group type = P2/m (10)

Computed N(E_F), in the same sequence as the records: 25.19 28.07 9.32 9.47 17.59 8.62 states/eV per cell.
Computed formation energy from raw total energies, in the same sequence as the records: -1488.5 -1504.1 -1659.8 -1512.2 -1076.9 -1177.3 meV/atom.